Record 1
## Pr3Ir (PBE)

Data for crystalline Pr3Ir at its relaxed geometry.

The calculation puts the total DFT energy (no corrections) at -99.56 eV per cell.

The space group is Pnma (No. 62) and the conventional cell measures 7.432, 9.971 and 6.581 Å, with angles of 90.00, 90.00 and 90.00 degrees. Symmetry generates all atoms from Pr at (0.036, 0.250, 0.144), Pr at (0.175, 0.066, 0.671) and Ir at (0.120, 0.750, 0.437).

Record 2
## LiAlNiPb (PBE)

Data for crystalline LiAlNiPb at its relaxed geometry.

The value obtained for the offset from the most stable computed form is 0.0 meV/atom.

The space group is F-43m (No. 216) and the conventional cell measures 6.333, 6.333 and 6.333 Å, with angles of 90.00, 90.00 and 90.00 degrees. Symmetry generates all atoms from Li at (0.000, 0.000, 0.000), Al at (0.250, 0.250, 0.250), Ni at (0.000, 0.000, 0.500) and Pb at (0.250, 0.250, 0.750).

Record 3
## KCd4AsP2 (PBE)

Data for crystalline KCd4AsP2 at its relaxed geometry.

The calculation puts the total DFT energy (no corrections) at -65.98 eV per cell.

The space group is R-3m (No. 166, hexagonal axes) and the conventional cell measures 4.4365, 4.4365 and 36.1061 Å, with angles of 90.00, 90.00 and 120.00 degrees. Symmetry generates all atoms from K at (0.0000, 0.0000, 0.0000), Cd at (0.0000, 0.0000, 0.1998), Cd at (0.0000, 0.0000, 0.4083), As at (0.0000, 0.0000, 0.5000) and P at (0.0000, 0.0000, 0.2718).

Record 4
## SnPdO3 (PBE)

Data for crystalline SnPdO3 at its relaxed geometry.

The calculation puts the total DFT energy (no corrections) at -227.56 eV per cell.

The space group is Pba2 (No. 32) and the conventional cell measures 5.242, 9.670 and 9.750 Å, with angles of 90.00, 90.00 and 90.00 degrees. Symmetry generates all atoms from Sn at (0.148, 0.146, 0.000), Sn at (0.226, 0.107, 0.500), Pd at (0.220, 0.372, 0.252), Pd at (0.220, 0.373, 0.747), O at (0.000, 0.000, 0.345), O at (0.000, 0.000, 0.655), O at (0.000, 0.500, 0.366), O at (0.000, 0.500, 0.634), O at (0.064, 0.731, 0.146), O at (0.064, 0.731, 0.854), O at (0.117, 0.791, 0.499) and O at (0.230, 0.947, 0.000).

Record 5
## LuZnFeB (PBE)

Data for crystalline LuZnFeB at its relaxed geometry.

The value obtained for the offset from the most stable computed form is 0.0 meV/atom.

The space group is F-43m (No. 216) and the conventional cell measures 6.059, 6.059 and 6.059 Å, with angles of 90.00, 90.00 and 90.00 degrees. Symmetry generates all atoms from Lu at (0.000, 0.000, 0.000), Zn at (0.250, 0.250, 0.750), Fe at (0.000, 0.000, 0.500) and B at (0.250, 0.250, 0.250).

Record 6
## RbErZnTe3 (PBE)

Data for crystalline RbErZnTe3 at its relaxed geometry.

The calculation puts the total DFT energy (no corrections) at -45.12 eV per cell.

The space group is P2_1/m (No. 11) and the conventional cell measures 9.650, 4.398 and 10.953 Å, with angles of 90.00, 110.66 and 90.00 degrees. Symmetry generates all atoms from Rb at (0.235, 0.250, 0.268), Er at (0.323, 0.750, 0.862), Zn at (0.081, 0.250, 0.610), Te at (0.097, 0.250, 0.855), Te at (0.214, 0.750, 0.550) and Te at (0.465, 0.750, 0.155).